Entry 1:
A geometry-optimized Pa4Ge3H2 structure, computed with PBE-GGA.

Mass density = 11.3 g/cm³
ΔE to the lowest computed polymorph = 0.000 eV per atom

CIF file:
```
data_Pa4Ge3H2
_chemical_formula_sum 'Pa8 Ge6 H4'
_symmetry_space_group_name_H-M 'C 1 2/m 1'
_symmetry_Int_Tables_number 12
_symmetry_space_group_name_Hall '-C 2y'
_cell_length_a 10.9676
_cell_length_b 4.1769
_cell_length_c 8.3607
_cell_angle_alpha 90.00
_cell_angle_beta 118.62
_cell_angle_gamma 90.00
loop_
_atom_site_label
_atom_site_type_symbol
_atom_site_fract_x
_atom_site_fract_y
_atom_site_fract_z
Pa1 Pa 0.1052 0.0000 0.3849
Pa2 Pa 0.1989 0.5000 0.0765
Ge1 Ge 0.0000 0.0000 0.0000
Ge2 Ge 0.1198 0.5000 0.6663
H1 H 0.1833 0.5000 0.3492
```

***

Entry 2:
A geometry-optimized ZrMoCl structure, computed with PBE-GGA.

Formation energy (no corrections) = 0.925 eV/atom
Mass density = 6.1 g/cm³
ΔE to the lowest computed polymorph = 0.956 eV per atom

CIF file:
```
data_ZrMoCl
_chemical_formula_sum 'Zr4 Mo4 Cl4'
_symmetry_space_group_name_H-M 'F -4 3 m'
_symmetry_Int_Tables_number 216
_symmetry_space_group_name_Hall 'F -4 2 3'
_cell_length_a 6.2516
_cell_length_b 6.2516
_cell_length_c 6.2516
_cell_angle_alpha 90.00
_cell_angle_beta 90.00
_cell_angle_gamma 90.00
loop_
_atom_site_label
_atom_site_type_symbol
_atom_site_fract_x
_atom_site_fract_y
_atom_site_fract_z
Zr1 Zr 0.0000 0.0000 0.0000
Mo1 Mo 0.2500 0.2500 0.2500
Cl1 Cl 0.0000 0.0000 0.5000
```

***

Entry 3:
A geometry-optimized Tb2Pr4Sc structure, computed with PBE-GGA.

Formation energy from the elements = 0.03 eV/atom
Mass density = 6.6 g/cm³
ΔE to the lowest computed polymorph = 0.000 eV per atom

CIF file:
```
data_Tb2Pr4Sc
_chemical_formula_sum 'Tb8 Pr16 Sc4'
_symmetry_space_group_name_H-M 'C 1 2/c 1'
_symmetry_Int_Tables_number 15
_symmetry_space_group_name_Hall '-C 2yc'
_cell_length_a 6.2312
_cell_length_b 25.2294
_cell_length_c 6.2456
_cell_angle_alpha 90.00
_cell_angle_beta 109.16
_cell_angle_gamma 90.00
loop_
_atom_site_label
_atom_site_type_symbol
_atom_site_fract_x
_atom_site_fract_y
_atom_site_fract_z
Tb1 Tb 0.0000 0.1073 0.2500
Tb2 Tb 0.0000 0.3237 0.7500
Pr1 Pr 0.0000 0.0380 0.7500
Pr2 Pr 0.0000 0.1776 0.7500
Pr3 Pr 0.0000 0.2521 0.2500
Pr4 Pr 0.0000 0.4641 0.7500
Sc1 Sc 0.0000 0.3926 0.2500
```

***

Entry 4:
A geometry-optimized Pr5Ho2Er structure, computed with PBE-GGA.

Formation energy from the elements = 0.12 eV/atom
Mass density = 7.2 g/cm³
ΔE to the lowest computed polymorph = 0.000 eV per atom

CIF file:
```
data_Pr5Ho2Er
_chemical_formula_sum 'Pr20 Ho8 Er4'
_symmetry_space_group_name_H-M 'I 4/m c m'
_symmetry_Int_Tables_number 140
_symmetry_space_group_name_Hall '-I 4 2c'
_cell_length_a 9.2633
_cell_length_b 9.2633
_cell_length_c 12.8631
_cell_angle_alpha 90.00
_cell_angle_beta 90.00
_cell_angle_gamma 90.00
loop_
_atom_site_label
_atom_site_type_symbol
_atom_site_fract_x
_atom_site_fract_y
_atom_site_fract_z
Pr1 Pr 0.0000 0.0000 0.0000
Pr2 Pr 0.1504 0.3496 0.1641
Ho1 Ho 0.1452 0.3548 0.5000
Er1 Er 0.0000 0.0000 0.2500
```

***

Entry 5:
A geometry-optimized CrCuGeRh structure, computed with PBE-GGA.

Formation energy from the elements = -0.14 eV/atom
Mass density = 8.9 g/cm³

CIF file:
```
data_CrCuGeRh
_chemical_formula_sum 'Cr4 Cu4 Ge4 Rh4'
_symmetry_space_group_name_H-M 'F -4 3 m'
_symmetry_Int_Tables_number 216
_symmetry_space_group_name_Hall 'F -4 2 3'
_cell_length_a 6.0017
_cell_length_b 6.0017
_cell_length_c 6.0017
_cell_angle_alpha 90.00
_cell_angle_beta 90.00
_cell_angle_gamma 90.00
loop_
_atom_site_label
_atom_site_type_symbol
_atom_site_fract_x
_atom_site_fract_y
_atom_site_fract_z
Cr1 Cr 0.0000 0.0000 0.0000
Cu1 Cu 0.2500 0.2500 0.2500
Ge1 Ge 0.2500 0.2500 0.7500
Rh1 Rh 0.0000 0.0000 0.5000
```

***

Entry 6:
A geometry-optimized LiIn2FeP structure, computed with PBE-GGA.

Formation energy from the elements = 0.06 eV/atom
Mass density = 5.0 g/cm³

CIF file:
```
data_LiIn2FeP
_chemical_formula_sum 'Li1 In2 Fe1 P1'
_symmetry_space_group_name_H-M 'P 4/m m m'
_symmetry_Int_Tables_number 123
_symmetry_space_group_name_Hall '-P 4 2'
_cell_length_a 5.0608
_cell_length_b 5.0608
_cell_length_c 4.2186
_cell_angle_alpha 90.00
_cell_angle_beta 90.00
_cell_angle_gamma 90.00
loop_
_atom_site_label
_atom_site_type_symbol
_atom_site_fract_x
_atom_site_fract_y
_atom_site_fract_z
Li1 Li 0.0000 0.0000 0.0000
In1 In 0.0000 0.5000 0.5000
Fe1 Fe 0.5000 0.5000 0.5000
P1 P 0.5000 0.5000 0.0000
```

***

Question: Which value of mass density does entry 5 give?
Answer: 8.9 g/cm³